AlP2C | PBE | relaxed

Lattice parameters (Å, degrees): 5.2920 5.2920 8.0700 90.00 90.00 90.00
Closest atoms and distances in Å follow each position.
Space group I-42d (No. 122)
Symmetry-distinct sites (fractional):
Al 0.0000 0.0000 0.0000 [4 per cell]  4 P 2.39
P 0.1767 0.2500 0.6250 [8 per cell]  2 C 1.91
C 0.0000 0.0000 0.5000 [4 per cell]  4 P 1.91

- E_form: 0.352 eV/atom